(1)
DFT (PBE-GGA) results for a geometry-optimized K2BaZrO structure.

Results
**Density of states at the Fermi level**: 0.37 states/eV per atom
**Formation energy from raw total energies**: 25.65 kcal/mol of atoms
**Symmetry**: P4/mmm

CIF file:
```
data_K2BaZrO
_cell_length_a 6.642
_cell_length_b 6.642
_cell_length_c 6.730
_cell_angle_alpha 90.00
_cell_angle_beta 90.00
_cell_angle_gamma 90.00
_symmetry_space_group_name_H-M 'P 1'
_symmetry_Int_Tables_number 1
_symmetry_space_group_name_Hall 'P 1'
loop_
_atom_site_label
_atom_site_type_symbol
_atom_site_fract_x
_atom_site_fract_y
_atom_site_fract_z
K1 K 0.000 0.500 0.000
K2 K 0.500 0.000 0.000
Ba1 Ba 0.000 0.000 0.500
Zr1 Zr 0.000 0.000 0.000
O1 O 0.500 0.500 0.500
```



(2)
DFT (PBE-GGA) results for a geometry-optimized ZnHgF2 structure.

Results
**Density of states at the Fermi level**: 0.67 states/eV per atom
**Formation energy from raw total energies**: -19.89 kcal/mol of atoms
**Symmetry**: Fm-3m
**Energy above the lowest structure with this stoichiometry**: 3.18 eV/f.u.

CIF file:
```
data_ZnHgF2
_cell_length_a 4.390
_cell_length_b 4.390
_cell_length_c 4.390
_cell_angle_alpha 60.00
_cell_angle_beta 60.00
_cell_angle_gamma 60.00
_symmetry_space_group_name_H-M 'P 1'
_symmetry_Int_Tables_number 1
_symmetry_space_group_name_Hall 'P 1'
loop_
_atom_site_label
_atom_site_type_symbol
_atom_site_fract_x
_atom_site_fract_y
_atom_site_fract_z
Zn1 Zn 0.000 0.000 0.000
Hg1 Hg 0.500 0.500 0.500
F1 F 0.250 0.250 0.250
F2 F 0.750 0.750 0.750
```



(3)
DFT (PBE-GGA) results for a geometry-optimized Li2NpSnO6 structure.

Results
**Formation energy from raw total energies**: -51.17 kcal/mol of atoms
**Symmetry**: P2_1/c

CIF file:
```
data_Li2NpSnO6
_cell_length_a 5.381
_cell_length_b 5.653
_cell_length_c 9.532
_cell_angle_alpha 90.00
_cell_angle_beta 124.28
_cell_angle_gamma 90.00
_symmetry_space_group_name_H-M 'P 1'
_symmetry_Int_Tables_number 1
_symmetry_space_group_name_Hall 'P 1'
loop_
_atom_site_label
_atom_site_type_symbol
_atom_site_fract_x
_atom_site_fract_y
_atom_site_fract_z
Li1 Li 0.248 0.011 0.250
Li2 Li 0.248 0.489 0.750
Li3 Li 0.752 0.511 0.250
Li4 Li 0.752 0.989 0.750
Np1 Np 0.000 0.000 0.500
Np2 Np 0.000 0.500 0.000
Sn1 Sn 0.500 0.000 0.000
Sn2 Sn 0.500 0.500 0.500
O1 O 0.124 0.538 0.250
O2 O 0.124 0.962 0.750
O3 O 0.242 0.189 0.063
O4 O 0.242 0.311 0.563
O5 O 0.382 0.686 0.062
O6 O 0.382 0.814 0.562
O7 O 0.618 0.186 0.438
O8 O 0.618 0.314 0.938
O9 O 0.758 0.689 0.437
O10 O 0.758 0.811 0.937
O11 O 0.876 0.038 0.250
O12 O 0.876 0.462 0.750
```



(4)
DFT (PBE-GGA) results for a geometry-optimized H3PdRu structure.

Results
**Density of states at the Fermi level**: 0.69 states/eV per atom
**Symmetry**: Pm-3m
**Energy above the lowest structure with this stoichiometry**: 0.00 eV/f.u.

CIF file:
```
data_H3PdRu
_cell_length_a 3.424
_cell_length_b 3.424
_cell_length_c 3.424
_cell_angle_alpha 90.00
_cell_angle_beta 90.00
_cell_angle_gamma 90.00
_symmetry_space_group_name_H-M 'P 1'
_symmetry_Int_Tables_number 1
_symmetry_space_group_name_Hall 'P 1'
loop_
_atom_site_label
_atom_site_type_symbol
_atom_site_fract_x
_atom_site_fract_y
_atom_site_fract_z
H1 H 0.000 0.000 0.500
H2 H 0.000 0.500 0.000
H3 H 0.500 0.000 0.000
Pd1 Pd 0.500 0.500 0.500
Ru1 Ru 0.000 0.000 0.000
```



(5)
DFT (PBE-GGA) results for a geometry-optimized CsHg7H5 structure.

Results
**Density of states at the Fermi level**: 0.16 states/eV per atom
**E_tot**: -1.3433 eV/atom
**Symmetry**: Cm

CIF file:
```
data_CsHg7H5
_cell_length_a 5.826
_cell_length_b 5.826
_cell_length_c 9.194
_cell_angle_alpha 92.78
_cell_angle_beta 92.78
_cell_angle_gamma 98.77
_symmetry_space_group_name_H-M 'P 1'
_symmetry_Int_Tables_number 1
_symmetry_space_group_name_Hall 'P 1'
loop_
_atom_site_label
_atom_site_type_symbol
_atom_site_fract_x
_atom_site_fract_y
_atom_site_fract_z
Cs1 Cs 0.000 0.000 0.000
Hg1 Hg 0.026 0.483 0.727
Hg2 Hg 0.251 0.251 0.467
Hg3 Hg 0.483 0.026 0.727
Hg4 Hg 0.498 0.498 0.947
Hg5 Hg 0.510 0.964 0.260
Hg6 Hg 0.705 0.705 0.524
Hg7 Hg 0.964 0.510 0.260
H1 H 0.232 0.774 0.735
H2 H 0.233 0.741 0.251
H3 H 0.740 0.740 0.239
H4 H 0.741 0.233 0.251
H5 H 0.774 0.232 0.735
```



(6)
DFT (PBE-GGA) results for a geometry-optimized LiNiAs2 structure.

Results
**Density of states at the Fermi level**: 0.49 states/eV per atom
**Energy of formation from the pure elements**: -0.22 eV/atom
**Symmetry**: P4/mmm
**Energy above the lowest structure with this stoichiometry**: 0.47 eV/f.u.

CIF file:
```
data_LiNiAs2
_cell_length_a 2.911
_cell_length_b 2.911
_cell_length_c 7.219
_cell_angle_alpha 90.00
_cell_angle_beta 90.00
_cell_angle_gamma 90.00
_symmetry_space_group_name_H-M 'P 1'
_symmetry_Int_Tables_number 1
_symmetry_space_group_name_Hall 'P 1'
loop_
_atom_site_label
_atom_site_type_symbol
_atom_site_fract_x
_atom_site_fract_y
_atom_site_fract_z
Li1 Li 0.000 0.000 0.000
Ni1 Ni 0.000 0.000 0.500
As1 As 0.500 0.500 0.277
As2 As 0.500 0.500 0.723
```



no.,total moment (μB per formula unit)
1,4.01
2,0.00
3,1.00
4,0.00
5,0.00
6,0.00